A geometry-optimized Pr4Ga2Bi structure, computed with PBE-GGA.

Geometry as CIF:
```
data_Pr4Ga2Bi
_chemical_formula_sum 'Pr16 Ga8 Bi4'
_symmetry_space_group_name_H-M 'I -4 2 d'
_symmetry_Int_Tables_number 122
_symmetry_space_group_name_Hall 'I -4 2bw'
_cell_length_a 9.480
_cell_length_b 9.480
_cell_length_c 9.477
_cell_angle_alpha 90.00
_cell_angle_beta 90.00
_cell_angle_gamma 90.00
loop_
_atom_site_label
_atom_site_type_symbol
_atom_site_fract_x
_atom_site_fract_y
_atom_site_fract_z
_atom_site_occupancy
Pr1 Pr 0.071 0.174 0.314 1
Ga1 Ga 0.128 0.250 0.625 1
Bi1 Bi 0.000 0.000 0.000 1
```

Calculated values
Calculated formation energy = -574 meV/atom
Volume = 852 Å³/cell